This record from Alexandria via LeMat-Bulk describes Mn2InPb at its PBEsol-relaxed geometry. The functional is meta-GGA SCAN.

Values from the calculation:
Symmetry: No. 160
Magnetization (μB/cell): 0.2
Crystal system: trigonal
Formation energy (eV per formula unit): 0.8

a = 8.7612 Å, b = 8.7612 Å, c = 8.7612 Å
α = 21.19°, β = 21.19°, γ = 21.19°
With the nearest neighbours (Å) after each atom.
Element x y z (fractional)
Mn 0.0000 0.0000 0.0000  3 Mn 2.33
Mn 0.2788 0.2788 0.2788  3 Mn 2.33
In 0.7490 0.7490 0.7490  3 Mn 2.82
Pb 0.5229 0.5229 0.5229  3 Mn 2.95, 6 Pb 3.22


This record from Alexandria via LeMat-Bulk describes Si3TcGe at its PBEsol-relaxed geometry. The functional is meta-GGA SCAN.

Values from the calculation:
Symmetry: No. 221
Magnetization (μB/cell): 3.1
Crystal system: cubic
Uncorrected energy (eV per atom): -15.19

a = 4.5891 Å, b = 4.5891 Å, c = 4.5891 Å
α = 90.00°, β = 90.00°, γ = 90.00°
With the nearest neighbours (Å) after each atom.
Element x y z (fractional)
Si 0.0000 0.0000 0.5000  2 Ge 2.29
Si 0.0000 0.5000 0.0000  2 Ge 2.29
Si 0.5000 0.0000 0.0000  2 Ge 2.29
Tc 0.5000 0.5000 0.5000  12 Si 3.24
Ge 0.0000 0.0000 0.0000  6 Si 2.29


This record from Alexandria via LeMat-Bulk describes AsPAu2 at its PBEsol-relaxed geometry. The functional is meta-GGA SCAN.

Values from the calculation:
Symmetry: No. 47
Magnetization (μB/cell): 0.0
Crystal system: orthorhombic
Formation energy (eV per formula unit): 1.7

a = 3.8099 Å, b = 3.9357 Å, c = 4.5714 Å
α = 90.00°, β = 90.00°, γ = 90.00°
With the nearest neighbours (Å) after each atom.
Element x y z (fractional)
As 0.0000 0.0000 0.0000  4 P 2.74, 8 Au 2.98-3.02
P 0.5000 0.5000 0.0000  4 As 2.74, 8 Au 2.98-3.02
Au 0.0000 0.5000 0.5000  4 Au 2.74, 4 P 2.98, 4 As 3.02
Au 0.5000 0.0000 0.5000  4 Au 2.74, 4 As 2.98, 4 P 3.02